# MoRh3F PBE with a Hubbard U relaxed
data_MoRh3F
_symmetry_space_group_name_H-M 'P m -3 m'
_symmetry_Int_Tables_number 221
_symmetry_space_group_name_Hall '-P 4 2 3'
_cell_length_a 4.2093
_cell_length_b 4.2093
_cell_length_c 4.2093
_cell_angle_alpha 90.00
_cell_angle_beta 90.00
_cell_angle_gamma 90.00
loop_
_atom_site_label
_atom_site_type_symbol
_atom_site_fract_x
_atom_site_fract_y
_atom_site_fract_z
Mo1 Mo 0.0000 0.0000 0.0000
Rh1 Rh 0.0000 0.5000 0.5000
F1 F 0.5000 0.5000 0.5000
# Energy above the most stable polymorph in this dataset = 0.000 eV per atom